# 1
# Nd2YMg5 | Alexandria via LeMat-Bulk | PBE | relaxed
# - E_form: -0.09 eV/atom
# - Calculated total energy: -0.2265 Ry per atom
data_Nd2YMg5
_space_group_name_H-M_alt 'I 4/m m m'
_space_group_IT_number 139
_space_group_name_Hall '-I 4 2'
_cell_length_a 5.250
_cell_length_b 5.250
_cell_length_c 15.781
_cell_angle_alpha 90.00
_cell_angle_beta 90.00
_cell_angle_gamma 90.00
loop_
_atom_site_label
_atom_site_fract_x
_atom_site_fract_y
_atom_site_fract_z
Nd1 0.000 0.000 0.241
Y1 0.000 0.000 0.500
Mg1 0.000 0.000 0.000
Mg2 0.000 0.500 0.115

---

# 2
# Be2PdSe | Alexandria via LeMat-Bulk | PBE | relaxed
# - Formation energy from raw total energies: -0.43 eV/f.u.
# - Calculated total energy: -0.3044 Ry per atom
data_Be2PdSe
_space_group_name_H-M_alt 'I -4 2 d'
_space_group_IT_number 122
_space_group_name_Hall 'I -4 2bw'
_cell_length_a 5.194
_cell_length_b 5.194
_cell_length_c 10.081
_cell_angle_alpha 90.00
_cell_angle_beta 90.00
_cell_angle_gamma 90.00
loop_
_atom_site_label
_atom_site_fract_x
_atom_site_fract_y
_atom_site_fract_z
Be1 0.246 0.250 0.125
Pd1 0.000 0.000 0.500
Se1 0.000 0.000 0.000

---

# 3
# Be3BiS | Alexandria via LeMat-Bulk | PBE | relaxed
# - Formation energy from raw total energies: 6.66 eV/f.u.
# - Calculated total energy: -0.1841 Ry per atom
data_Be3BiS
_space_group_name_H-M_alt 'P m -3 m'
_space_group_IT_number 221
_space_group_name_Hall '-P 4 2 3'
_cell_length_a 4.798
_cell_length_b 4.798
_cell_length_c 4.798
_cell_angle_alpha 90.00
_cell_angle_beta 90.00
_cell_angle_gamma 90.00
loop_
_atom_site_label
_atom_site_fract_x
_atom_site_fract_y
_atom_site_fract_z
Be1 0.000 0.000 0.500
Bi1 0.000 0.000 0.000
S1 0.500 0.500 0.500

---

# 4
# Mo21S8 | Alexandria via LeMat-Bulk | PBE | relaxed
# - Formation energy from raw total energies: -3.85 eV/f.u.
# - Calculated total energy: -0.6699 Ry per atom
data_Mo21S8
_space_group_name_H-M_alt 'I 4/m'
_space_group_IT_number 87
_space_group_name_Hall '-I 4'
_cell_length_a 16.489
_cell_length_b 16.489
_cell_length_c 3.166
_cell_angle_alpha 90.00
_cell_angle_beta 90.00
_cell_angle_gamma 90.00
loop_
_atom_site_label
_atom_site_fract_x
_atom_site_fract_y
_atom_site_fract_z
Mo1 0.000 0.000 0.000
Mo2 0.023 0.281 0.000
Mo3 0.053 0.424 0.500
Mo4 0.055 0.847 0.500
Mo5 0.116 0.686 0.500
Mo6 0.193 0.197 0.000
S1 0.061 0.135 0.000
S2 0.134 0.287 0.500